[1]
The following is a DFT calculation (PBE-GGA) of a relaxed Ga4Pd4Pt5 crystal.

Lattice parameters (Å, degrees): 4.1128 7.2430 7.2430 85.38 73.51 73.51
With the nearest neighbours (Å) after each atom.
Sites, in units of the cell vectors:
Pt 0.6822 0.9114 0.7242  3 Ga 2.58-2.60, 4 Pt 2.85-2.88
Pt 0.4064 0.2758 0.9114  3 Ga 2.58-2.60, 4 Pt 2.85-2.88
Pt 0.0000 0.0000 0.0000  4 Ga 2.61, 8 Pt 2.88
Pt 0.3178 0.0886 0.2758  3 Ga 2.58-2.60, 4 Pt 2.85-2.88
Pt 0.5936 0.7242 0.0886  3 Ga 2.58-2.60, 4 Pt 2.85-2.88
Pd 0.3887 0.7131 0.5095  3 Ga 2.57-2.58
Pd 0.1018 0.5095 0.2869  3 Ga 2.57-2.58
Pd 0.6113 0.2869 0.4905  3 Ga 2.57-2.58
Pd 0.8982 0.4905 0.7131  3 Ga 2.57-2.58
Ga 0.2404 0.6454 0.8739  3 Pd 2.57-2.58, 4 Pt 2.58-2.61
Ga 0.8857 0.8739 0.3546  3 Pd 2.57-2.58, 4 Pt 2.58-2.61
Ga 0.1143 0.1261 0.6454  3 Pd 2.57-2.58, 4 Pt 2.58-2.61
Ga 0.7596 0.3546 0.1261  3 Pd 2.57-2.58, 4 Pt 2.58-2.61

Properties
Space group ... I4/m, No. 87
Electronic total energy ... -0.198 Ha/atom
DFT formation energy ... -7.092 eV per formula unit



[2]
The following is a DFT calculation (PBE-GGA) of a relaxed Ga2PdPt7 crystal.

Lattice parameters (Å, degrees): 3.8971 7.7161 7.7161 124.51 90.00 90.00
With the nearest neighbours (Å) after each atom.
Sites, in units of the cell vectors:
Pt 0.5000 0.2948 0.0855  1 Ga 2.50, 4 Pt 2.65-2.73, 2 Pd 2.78
Pt 0.5000 0.0855 0.2948  1 Ga 2.50, 4 Pt 2.65-2.73, 2 Pd 2.78
Pt 0.5000 0.5000 0.5000  2 Ga 2.58, 4 Pt 2.65
Pt 0.5000 0.7052 0.9145  1 Ga 2.50, 4 Pt 2.65-2.73, 2 Pd 2.78
Pt 0.5000 0.9145 0.7052  1 Ga 2.50, 4 Pt 2.65-2.73, 2 Pd 2.78
Pt 0.0000 0.8032 0.1968  2 Ga 2.50, 1 Pd 2.69, 4 Pt 2.69
Pt 0.0000 0.1968 0.8032  2 Ga 2.50, 1 Pd 2.69, 4 Pt 2.69
Ga 0.5000 0.6886 0.3114  5 Pt 2.50-2.58
Ga 0.5000 0.3114 0.6886  5 Pt 2.50-2.58
Pd 0.0000 0.0000 0.0000  10 Pt 2.69-2.78

Properties
Space group ... Cmmm, No. 65
Electronic total energy ... -0.194 Ha/atom
DFT formation energy ... 0.810 eV per formula unit



[3]
The following is a DFT calculation (PBE-GGA) of a relaxed GaPd2Pt crystal.

Lattice parameters (Å, degrees): 4.4186 4.4186 4.4167 59.99 59.99 60.00
With the nearest neighbours (Å) after each atom.
Sites, in units of the cell vectors:
Ga 0.7500 0.7500 0.7501  4 Pt 2.70-2.71, 4 Pd 2.70-2.71
Pt 0.5001 0.5001 0.4996  4 Ga 2.70-2.71, 4 Pd 2.71
Pd 0.2500 0.2500 0.2500  4 Pd 2.71, 4 Pt 2.71
Pd 0.9999 0.9999 0.0003  4 Ga 2.70-2.71, 4 Pd 2.71

Properties
Space group ... F-43m, No. 216
Electronic total energy ... -0.194 Ha/atom
DFT formation energy ... -1.658 eV per formula unit